Below is a relaxed Tl8In4Hg crystal, with properties calculated at the GGA-PBE level.

Summary:
As for the space-group type: R-3m (166). The value obtained for the formation enthalpy at 0 K is 8 kJ/mol of atoms.

a = 7.5192 Å, b = 7.5192 Å, c = 7.5192 Å
α = 89.88°, β = 89.88°, γ = 89.88°
Last column: nearest neighbours and their distance in Å.
Fractional positions:
In 0.5000 0.5000 0.0000  8 Tl 3.27-3.28
Tl 0.2458 0.7554 0.2458  4 In 3.19-3.28, 1 Hg 3.31
In 0.0000 0.5000 0.5000  8 Tl 3.27-3.28
Tl 0.7542 0.7542 0.2446  4 In 3.19-3.28, 1 Hg 3.31
In 0.0000 0.0000 0.0000  8 Tl 3.19-3.20
In 0.5000 0.0000 0.5000  8 Tl 3.27-3.28
Tl 0.7554 0.2458 0.2458  4 In 3.19-3.28, 1 Hg 3.31
Hg 0.5000 0.5000 0.5000  8 Tl 3.31-3.32
Tl 0.2458 0.2458 0.7554  4 In 3.19-3.28, 1 Hg 3.31
Tl 0.2446 0.7542 0.7542  4 In 3.19-3.28, 1 Hg 3.31
Tl 0.2455 0.2455 0.2455  4 In 3.20-3.27, 1 Hg 3.32
Tl 0.7542 0.2446 0.7542  4 In 3.19-3.28, 1 Hg 3.31
Tl 0.7545 0.7545 0.7545  4 In 3.20-3.27, 1 Hg 3.32

Below is a relaxed NaAu2Cl crystal, with properties calculated at the GGA-PBE level.

Summary:
The polymorph energy (0 for the lowest one) is 0.00 eV per formula unit. As for the space-group type: I-42d (122).

a = 3.8092 Å, b = 3.8092 Å, c = 13.9346 Å
α = 82.14°, β = 82.14°, γ = 90.00°
Last column: nearest neighbours and their distance in Å.
Fractional positions:
Cl 0.0000 0.0000 0.0000  4 Na 2.69
Na 0.2500 0.7500 0.5000  4 Cl 2.69
Cl 0.7500 0.2500 0.5000  4 Na 2.69
Na 0.5000 0.5000 0.0000  4 Cl 2.69
Au 0.1253 0.6250 0.2500  4 Au 2.69-2.70
Au 0.6247 0.1250 0.2500  4 Au 2.69-2.70
Au 0.3750 0.3753 0.7500  4 Au 2.69-2.70
Au 0.8750 0.8747 0.7500  4 Au 2.69-2.70

Below is a relaxed SrGe3Au6 crystal, with properties calculated at the GGA-PBE level.

Summary:
As for the space-group type: P1 (1). The value obtained for the formation enthalpy at 0 K is -20 kJ/mol of atoms.

a = 6.9266 Å, b = 6.8557 Å, c = 6.7388 Å
α = 89.68°, β = 120.66°, γ = 120.31°
Last column: nearest neighbours and their distance in Å.
Fractional positions:
Au 0.2411 0.7385 0.2499  3 Ge 2.64-2.71, 1 Au 2.91
Ge 0.2500 0.6244 0.8786  6 Au 2.50-2.68
Au 0.7479 0.0075 0.2472  3 Ge 2.64-2.70, 1 Au 2.91
Ge 0.2243 0.1132 0.3393  6 Au 2.63-2.71
Au 0.5109 0.4991 0.2482  3 Ge 2.63-2.69, 1 Au 2.90
Au 0.3822 0.9596 0.7138  2 Ge 2.50-2.64
Au 0.7540 0.4218 0.7130  2 Ge 2.50-2.66
Ge 0.7565 0.3793 0.1343  6 Au 2.63-2.88
Sr 0.8438 0.9237 0.7663  1 Ge 3.12, 6 Au 3.16-3.33
Au 0.2892 0.3327 0.7094  2 Ge 2.50-2.63

Below is a relaxed ZrCr2Se crystal, with properties calculated at the GGA-PBE level.

Summary:
As for the calculated total energy: -7.758 eV per atom. As for the space-group type: P2/m (10).

a = 4.3517 Å, b = 3.3321 Å, c = 4.7192 Å
α = 86.54°, β = 90.00°, γ = 90.00°
Last column: nearest neighbours and their distance in Å.
Fractional positions:
Zr 0.5000 0.7500 0.7500  4 Se 2.81-2.97, 8 Cr 2.89-2.93
Cr 0.0000 0.2787 0.5434  1 Cr 1.95
Se 0.5000 0.2500 0.2500  4 Cr 2.58, 2 Zr 2.81
Cr 0.0000 0.2213 0.9566  1 Cr 1.95

Below is a relaxed ScBeAs2 crystal, with properties calculated at the GGA-PBE level.

Summary:
As for the space-group type: F-43m (216). The value obtained for the formation enthalpy at 0 K is 14 kJ/mol of atoms.

a = 4.6335 Å, b = 4.6335 Å, c = 4.6335 Å
α = 60.00°, β = 60.00°, γ = 60.00°
Last column: nearest neighbours and their distance in Å.
Fractional positions:
Be 0.5000 0.5000 0.5000  4 Sc 2.84, 4 As 2.84
As 0.2500 0.2500 0.2500  4 Be 2.84, 4 As 2.84
Sc 0.7500 0.7500 0.7500  4 As 2.84, 4 Be 2.84
As 0.0000 0.0000 0.0000  4 As 2.84, 4 Sc 2.84

Below is a relaxed Rb2GaPb crystal, with properties calculated at the GGA-PBE level.

Summary:
The polymorph energy (0 for the lowest one) is 0.42 eV per formula unit. As for the space-group type: I-42d (122). The value obtained for the formation enthalpy at 0 K is 5 kJ/mol of atoms.

a = 13.6213 Å, b = 13.6213 Å, c = 10.0058 Å
α = 47.10°, β = 47.10°, γ = 90.00°
Last column: nearest neighbours and their distance in Å.
Fractional positions:
Rb 0.3750 0.5683 0.7500  2 Ga 3.56
Ga 0.2500 0.7500 0.5000  2 Pb 2.71
Rb 0.4317 0.1250 0.2500  2 Ga 3.56
Pb 0.7500 0.2500 0.5000  2 Ga 2.71
Pb 0.0000 0.0000 0.0000  2 Ga 2.71
Rb 0.3183 0.6250 0.2500  2 Ga 3.56
Rb 0.8750 0.6817 0.7500  2 Ga 3.56
Ga 0.5000 0.5000 0.0000  2 Pb 2.71

no.,total magnetic moment (μB per formula unit)
1,0.00
2,0.00
3,0.00
4,0.00
5,0.00
6,0.00